Computed, not measured: a relaxed structure of CrSnN2F at the PBE with a Hubbard U level of DFT.

abc: 3.9825 3.9825 3.9434
angles: 90.00 90.00 90.00
Closest atoms and distances in Å follow each position.
Element x y z (fractional)
Cr 0.0000 0.0000 0.0000  2 F 1.97, 4 N 1.99
N 0.0000 0.5000 0.0000  2 Cr 1.99
N 0.5000 0.0000 0.0000  2 Cr 1.99
F 0.0000 0.0000 0.5000  2 Cr 1.97
Sn 0.5000 0.5000 0.5000  8 N 2.80, 4 F 2.82

* energy above the lowest structure with this stoichiometry: 0.000 eV/atom
* magnetization: 0.210 μB per atom